Entry 1:
First-principles (PBE) data for a relaxed structure of KGaS2, as listed in Alexandria.

Geometry as POSCAR:
```
KGaS2
1.0
4.151 -5.279 0.000
4.151 5.279 0.000
-3.180 0.000 5.167
K Ga S
2 2 4
direct
0.133 0.867 0.750
0.867 0.133 0.250
0.492 0.508 0.250
0.508 0.492 0.750
0.207 0.429 0.860
0.429 0.207 0.360
0.571 0.793 0.640
0.793 0.571 0.140
```

Results
The space group is No. 15. The value obtained for the density of states at the Fermi level is 0.0000 states/eV per atom. The calculation puts the formation energy without anion corrections at -1020 meV/atom.

---

Entry 2:
First-principles (PBE) data for a relaxed structure of KGaS4, as listed in Alexandria.

Geometry as POSCAR:
```
KGaS4
1.0
7.650 -3.459 0.000
7.650 3.459 0.000
-1.376 0.000 7.189
K Ga S
2 2 8
direct
0.203 0.203 0.195
0.797 0.797 0.805
0.409 0.409 0.904
0.591 0.591 0.096
0.122 0.756 0.443
0.244 0.878 0.557
0.249 0.751 0.000
0.271 0.271 0.785
0.729 0.729 0.215
0.751 0.249 0.000
0.756 0.122 0.443
0.878 0.244 0.557
```

Results
The space group is No. 12. The calculation puts the formation energy without anion corrections at -461 meV/atom.

---

Entry 3:
First-principles (PBE) data for a relaxed structure of KGaS2, as listed in Alexandria.

Geometry as POSCAR:
```
KGaS2
1.0
-3.476 3.476 4.322
3.476 -3.476 4.322
3.476 3.476 -4.322
K Ga S
2 2 4
direct
0.000 0.000 0.000
0.750 0.250 0.500
0.250 0.750 0.500
0.500 0.500 0.000
0.221 0.625 0.096
0.375 0.471 0.596
0.529 0.125 0.904
0.875 0.779 0.404
```

Results
The space group is No. 122. The value obtained for the density of states at the Fermi level is 0.0000 states/eV per atom. The calculation puts the formation energy without anion corrections at -1009 meV/atom.

---

Entry 4:
First-principles (PBE) data for a relaxed structure of KGaS2, as listed in Alexandria.

Geometry as POSCAR:
```
KGaS2
1.0
2.552 1.473 7.097
-2.552 1.473 7.097
0.000 -2.946 7.097
K Ga S
1 1 2
direct
0.000 0.000 0.000
0.500 0.500 0.500
0.403 0.403 0.403
0.597 0.597 0.597
```

Results
The space group is No. 166. The value obtained for the density of states at the Fermi level is 0.0000 states/eV per atom. The calculation puts the formation energy without anion corrections at -702 meV/atom.

---

Entry 5:
First-principles (PBE) data for a relaxed structure of KGaS2, as listed in Alexandria.

Geometry as POSCAR:
```
KGaS2
1.0
-1.862 1.862 6.807
1.862 -1.862 6.807
1.862 1.862 -6.807
K Ga S
1 1 2
direct
0.000 0.000 0.000
0.250 0.750 0.500
0.353 0.353 0.000
0.647 0.647 0.000
```

Results
The space group is No. 119. The value obtained for the density of states at the Fermi level is 0.0000 states/eV per atom. The calculation puts the formation energy without anion corrections at -969 meV/atom.

---

Entry 6:
First-principles (PBE) data for a relaxed structure of KGa2S, as listed in Alexandria.

Geometry as POSCAR:
```
KGa2S
1.0
-4.112 4.112 3.064
4.112 -4.112 3.064
4.112 4.112 -3.064
K Ga S
2 4 2
direct
0.000 0.000 0.000
0.750 0.250 0.500
0.183 0.625 0.058
0.375 0.433 0.558
0.567 0.125 0.942
0.875 0.817 0.442
0.250 0.750 0.500
0.500 0.500 0.000
```

Results
The space group is No. 122. The value obtained for the density of states at the Fermi level is 0.3906 states/eV per atom. The calculation puts the formation energy without anion corrections at -265 meV/atom.

---

Entry 7:
First-principles (PBE) data for a relaxed structure of KGaS6, as listed in Alexandria.

Geometry as POSCAR:
```
KGaS6
1.0
5.823 0.000 0.000
0.010 6.713 0.000
0.961 2.163 7.398
K Ga S
1 1 6
direct
0.000 0.000 0.000
0.500 0.500 0.000
0.168 0.600 0.852
0.325 0.212 0.221
0.356 0.867 0.684
0.644 0.133 0.316
0.675 0.788 0.779
0.832 0.400 0.148
```

Results
The space group is No. 2. The calculation puts the formation energy without anion corrections at -259 meV/atom.

---

Entry 8:
First-principles (PBE) data for a relaxed structure of KGa2S4, as listed in Alexandria.

Geometry as POSCAR:
```
KGa2S4
1.0
5.057 0.000 0.000
0.000 5.057 0.000
0.000 0.000 7.954
K Ga S
1 2 4
direct
0.000 0.000 0.000
0.000 0.500 0.500
0.500 0.000 0.500
0.258 0.258 0.320
0.258 0.742 0.680
0.742 0.258 0.680
0.742 0.742 0.320
```

Results
The space group is No. 111. The value obtained for the density of states at the Fermi level is 0.6067 states/eV per atom. The calculation puts the formation energy without anion corrections at -707 meV/atom.

---

Entry 9:
First-principles (PBE) data for a relaxed structure of KGa6S8, as listed in Alexandria.

Geometry as POSCAR:
```
KGa6S8
1.0
5.108 2.949 3.912
-5.108 2.949 3.912
0.000 -5.898 3.912
K Ga S
1 6 8
direct
0.000 0.000 0.000
0.189 0.332 0.633
0.332 0.633 0.189
0.367 0.811 0.668
0.633 0.189 0.332
0.668 0.367 0.811
0.811 0.668 0.367
0.133 0.795 0.402
0.205 0.598 0.867
0.331 0.331 0.331
0.402 0.133 0.795
0.598 0.867 0.205
0.669 0.669 0.669
0.795 0.402 0.133
0.867 0.205 0.598
```

Results
The space group is No. 148. The value obtained for the density of states at the Fermi level is 0.5147 states/eV per atom. The calculation puts the formation energy without anion corrections at -520 meV/atom.

---

Entry 10:
First-principles (PBE) data for a relaxed structure of K3GaS3, as listed in Alexandria.

Geometry as POSCAR:
```
K3GaS3
1.0
7.854 0.000 0.000
0.000 12.895 0.000
-6.168 0.000 8.000
K Ga S
12 4 12
direct
0.127 0.119 0.471
0.127 0.381 0.971
0.178 0.104 0.897
0.178 0.396 0.397
0.341 0.689 0.568
0.341 0.811 0.068
0.659 0.189 0.932
0.659 0.311 0.432
0.822 0.604 0.603
0.822 0.896 0.103
0.873 0.619 0.029
0.873 0.881 0.529
0.442 0.064 0.339
0.442 0.436 0.839
0.558 0.564 0.161
0.558 0.936 0.661
0.180 0.188 0.200
0.180 0.312 0.700
0.328 0.597 0.868
0.328 0.903 0.368
0.369 0.547 0.263
0.369 0.953 0.763
0.631 0.047 0.237
0.631 0.453 0.737
0.672 0.097 0.632
0.672 0.403 0.132
0.820 0.688 0.300
0.820 0.812 0.800
```

Results
The space group is No. 14. The value obtained for the density of states at the Fermi level is 0.0000 states/eV per atom. The calculation puts the formation energy without anion corrections at -1126 meV/atom.

---

Entry 11:
First-principles (PBE) data for a relaxed structure of K3GaS, as listed in Alexandria.

Geometry as POSCAR:
```
K3GaS
1.0
6.087 0.000 0.000
0.000 6.087 0.000
0.000 0.000 6.087
K Ga S
3 1 1
direct
0.000 0.000 0.500
0.000 0.500 0.000
0.500 0.000 0.000
0.500 0.500 0.500
0.000 0.000 0.000
```

Results
The space group is No. 221. The value obtained for the density of states at the Fermi level is 0.7092 states/eV per atom. The calculation puts the formation energy without anion corrections at -325 meV/atom.

---

Entry 12:
First-principles (PBE) data for a relaxed structure of KGaS, as listed in Alexandria.

Geometry as POSCAR:
```
KGaS
1.0
3.923 0.000 0.000
-1.961 3.397 0.000
0.000 0.000 6.167
K Ga S
1 1 1
direct
0.000 0.000 0.000
0.333 0.667 0.554
0.667 0.333 0.347
```

Results
The space group is No. 156. The value obtained for the density of states at the Fermi level is 0.0000 states/eV per atom. The calculation puts the formation energy without anion corrections at -671 meV/atom.

---

Entry 13:
First-principles (PBE) data for a relaxed structure of KGaS, as listed in Alexandria.

Geometry as POSCAR:
```
KGaS
1.0
0.000 5.516 7.401
4.841 0.000 7.401
4.841 5.516 0.000
K Ga S
4 4 4
direct
0.019 0.019 0.731
0.269 0.269 0.981
0.731 0.731 0.019
0.981 0.981 0.269
0.000 0.500 0.500
0.500 0.000 0.500
0.500 0.500 0.000
0.500 0.500 0.500
0.123 0.627 0.627
0.373 0.877 0.877
0.627 0.123 0.123
0.877 0.373 0.373
```

Results
The space group is No. 70. The value obtained for the density of states at the Fermi level is 0.4628 states/eV per atom. The calculation puts the formation energy without anion corrections at -413 meV/atom.

---

Entry 14:
First-principles (PBE) data for a relaxed structure of K3GaS3, as listed in Alexandria.

Geometry as POSCAR:
```
K3GaS3
1.0
8.780 0.000 0.000
0.000 7.769 0.000
-1.606 0.000 12.198
K Ga S
12 4 12
direct
0.078 0.158 0.129
0.078 0.342 0.629
0.320 0.720 0.792
0.320 0.780 0.292
0.391 0.223 0.923
0.391 0.277 0.423
0.609 0.723 0.577
0.609 0.777 0.077
0.680 0.220 0.708
0.680 0.280 0.208
0.922 0.658 0.371
0.922 0.842 0.871
0.169 0.580 0.050
0.169 0.920 0.550
0.831 0.080 0.450
0.831 0.420 0.950
0.075 0.060 0.384
0.075 0.440 0.884
0.246 0.646 0.525
0.246 0.854 0.025
0.353 0.070 0.657
0.353 0.430 0.157
0.647 0.570 0.843
0.647 0.930 0.343
0.754 0.146 0.975
0.754 0.354 0.475
0.925 0.560 0.116
0.925 0.940 0.616
```

Results
The space group is No. 14. The value obtained for the density of states at the Fermi level is 0.0000 states/eV per atom. The calculation puts the formation energy without anion corrections at -1133 meV/atom.

---

Entry 15:
First-principles (PBE) data for a relaxed structure of K2Sc2GaS6, as listed in Alexandria.

Geometry as POSCAR:
```
K2Sc2GaS6
1.0
3.192 -5.530 0.000
3.192 5.530 0.000
-2.173 0.000 7.625
K Sc Ga S
2 2 1 6
direct
0.168 0.832 0.000
0.832 0.168 0.000
0.332 0.668 0.500
0.668 0.332 0.500
0.000 0.000 0.500
0.066 0.391 0.689
0.258 0.258 0.315
0.391 0.066 0.689
0.609 0.934 0.311
0.742 0.742 0.685
0.934 0.609 0.311
```

Results
The space group is No. 12. The value obtained for the density of states at the Fermi level is 0.6983 states/eV per atom. The calculation puts the formation energy without anion corrections at -1304 meV/atom.

---

Entry 16:
First-principles (PBE) data for a relaxed structure of KGa2SeS6, as listed in Alexandria.

Geometry as POSCAR:
```
KGa2SeS6
1.0
5.877 -6.259 0.000
5.877 6.259 0.000
-1.385 0.000 6.978
K Ga Se S
2 4 2 12
direct
0.062 0.938 0.750
0.938 0.062 0.250
0.218 0.386 0.813
0.386 0.218 0.313
0.614 0.782 0.687
0.782 0.614 0.187
0.257 0.743 0.250
0.743 0.257 0.750
0.027 0.727 0.376
0.106 0.608 0.932
0.270 0.396 0.499
0.273 0.973 0.124
0.392 0.894 0.568
0.396 0.270 0.999
0.604 0.730 0.001
0.608 0.106 0.432
0.727 0.027 0.876
0.730 0.604 0.501
0.894 0.392 0.068
0.973 0.273 0.624
```

Results
The space group is No. 15. The value obtained for the density of states at the Fermi level is 0.0221 states/eV per atom. The calculation puts the formation energy without anion corrections at -291 meV/atom.

---

Entry 17:
First-principles (PBE) data for a relaxed structure of KGaSi2S, as listed in Alexandria.

Geometry as POSCAR:
```
KGaSi2S
1.0
5.517 0.000 0.000
0.000 5.517 0.000
0.000 0.000 5.400
K Ga Si S
1 1 2 1
direct
0.000 0.000 0.000
0.500 0.500 0.500
0.000 0.500 0.000
0.500 0.000 0.000
0.000 0.000 0.500
```

Results
The space group is No. 123. The value obtained for the density of states at the Fermi level is 1.0868 states/eV per atom. The calculation puts the formation energy without anion corrections at 1568 meV/atom.

---

Entry 18:
First-principles (PBE) data for a relaxed structure of KGa2SiS6, as listed in Alexandria.

Geometry as POSCAR:
```
KGa2SiS6
1.0
6.456 -6.277 0.000
6.456 6.277 0.000
-4.024 0.000 6.612
K Ga Si S
2 4 2 12
direct
0.158 0.842 0.750
0.842 0.158 0.250
0.240 0.392 0.932
0.392 0.240 0.432
0.608 0.760 0.568
0.760 0.608 0.068
0.174 0.826 0.250
0.826 0.174 0.750
0.045 0.180 0.695
0.138 0.633 0.971
0.180 0.045 0.195
0.330 0.426 0.681
0.367 0.862 0.529
0.426 0.330 0.181
0.574 0.670 0.819
0.633 0.138 0.471
0.670 0.574 0.319
0.820 0.955 0.805
0.862 0.367 0.029
0.955 0.820 0.305
```

Results
The space group is No. 15. The value obtained for the density of states at the Fermi level is 0.0273 states/eV per atom. The calculation puts the formation energy without anion corrections at -614 meV/atom.

---

Entry 19:
First-principles (PBE) data for a relaxed structure of K2SmGaS4, as listed in Alexandria.

Geometry as POSCAR:
```
K2SmGaS4
1.0
5.730 -5.901 0.000
5.730 5.901 0.000
-5.439 0.000 5.906
K Sm Ga S
4 2 2 8
direct
0.000 0.000 0.000
0.000 0.000 0.500
0.000 0.500 0.000
0.500 0.000 0.500
0.000 0.500 0.500
0.500 0.000 0.000
0.500 0.500 0.000
0.500 0.500 0.500
0.263 0.728 0.974
0.272 0.737 0.526
0.293 0.309 0.524
0.309 0.293 0.024
0.691 0.707 0.976
0.707 0.691 0.476
0.728 0.263 0.474
0.737 0.272 0.026
```

Results
The space group is No. 15. The calculation puts the formation energy without anion corrections at -1222 meV/atom.

---

Entry 20:
First-principles (PBE) data for a relaxed structure of K4Sm3GaS8, as listed in Alexandria.

Geometry as POSCAR:
```
K4Sm3GaS8
1.0
7.025 -4.053 0.000
7.025 4.053 0.000
-4.687 0.000 7.388
K Sm Ga S
4 3 1 8
direct
0.000 0.000 0.000
0.000 0.500 0.000
0.500 0.000 0.000
0.500 0.500 0.000
0.000 0.000 0.500
0.000 0.500 0.500
0.500 0.000 0.500
0.500 0.500 0.500
0.236 0.236 0.708
0.254 0.722 0.698
0.277 0.277 0.302
0.278 0.746 0.302
0.722 0.254 0.698
0.723 0.723 0.698
0.746 0.278 0.302
0.764 0.764 0.292
```

Results
The space group is No. 12. The calculation puts the formation energy without anion corrections at -1551 meV/atom.